Co2ReBiI | PBE-GGA | relaxed

Uncorrected formation energy: 2078 meV/atom
V: 25.74 Å³ per atom
Size of the total moment: 6.009 μB/f.u.

The structure in POSCAR format:
```
Co2ReBiI
1.0
4.544 0.000 0.000
0.000 6.233 0.000
0.000 0.000 4.544
Bi I Co Re
1 1 2 1
Direct
0.000 0.500 0.000 Bi
0.000 0.000 0.000 I
0.000 0.000 0.500 Co
0.500 0.000 0.000 Co
0.500 0.500 0.500 Re
```